Record 1
{"formula": "Cu4As2O9", "functional": "PBE", "state": "optimized geometry", "sg": "Pnma", "e_form_raw_ev_per_atom": -0.825, "de_polymorph_ev_per_atom": 0.000, "lattice": [[8.3245, 0.0000, 0.0000], [0.0000, 6.5210, 0.0000], [0.0000, 0.0000, 14.0493]], "species": ["Cu", "Cu", "Cu", "Cu", "Cu", "Cu", "Cu", "Cu", "Cu", "Cu", "Cu", "Cu", "Cu", "Cu", "Cu", "Cu", "As", "As", "As", "As", "As", "As", "As", "As", "O", "O", "O", "O", "O", "O", "O", "O", "O", "O", "O", "O", "O", "O", "O", "O", "O", "O", "O", "O", "O", "O", "O", "O", "O", "O", "O", "O", "O", "O", "O", "O", "O", "O", "O", "O"], "frac_coords": [[0.0724, 0.2500, 0.0895], [0.1341, 0.7500, 0.4507], [0.1480, 0.0077, 0.6554], [0.1480, 0.4923, 0.6554], [0.3520, 0.5077, 0.1554], [0.3520, 0.9923, 0.1554], [0.3659, 0.2500, 0.9507], [0.4276, 0.7500, 0.5895], [0.5724, 0.2500, 0.4105], [0.6341, 0.7500, 0.0493], [0.6480, 0.0077, 0.8446], [0.6480, 0.4923, 0.8446], [0.8520, 0.5077, 0.3446], [0.8520, 0.9923, 0.3446], [0.8659, 0.2500, 0.5493], [0.9276, 0.7500, 0.9105], [0.0022, 0.2500, 0.8444], [0.1551, 0.2500, 0.4078], [0.3449, 0.7500, 0.9078], [0.4978, 0.7500, 0.3444], [0.5022, 0.2500, 0.6556], [0.6551, 0.2500, 0.0922], [0.8449, 0.7500, 0.5922], [0.9978, 0.7500, 0.1556], [0.0806, 0.0245, 0.3571], [0.0806, 0.4755, 0.3571], [0.1012, 0.2500, 0.5275], [0.1167, 0.2500, 0.7393], [0.1192, 0.5343, 0.1468], [0.1192, 0.9657, 0.1468], [0.1315, 0.2500, 0.9402], [0.1472, 0.7500, 0.8802], [0.1897, 0.7500, 0.5929], [0.3103, 0.2500, 0.0929], [0.3528, 0.2500, 0.3802], [0.3685, 0.7500, 0.4402], [0.3808, 0.0343, 0.6468], [0.3808, 0.4657, 0.6468], [0.3833, 0.7500, 0.2393], [0.3988, 0.7500, 0.0275], [0.4194, 0.5245, 0.8571], [0.4194, 0.9755, 0.8571], [0.5806, 0.0245, 0.1429], [0.5806, 0.4755, 0.1429], [0.6012, 0.2500, 0.9725], [0.6167, 0.2500, 0.7607], [0.6192, 0.5343, 0.3532], [0.6192, 0.9657, 0.3532], [0.6315, 0.2500, 0.5598], [0.6472, 0.7500, 0.6198], [0.6897, 0.7500, 0.9071], [0.8103, 0.2500, 0.4071], [0.8528, 0.2500, 0.1198], [0.8685, 0.7500, 0.0598], [0.8808, 0.0343, 0.8532], [0.8808, 0.4657, 0.8532], [0.8833, 0.7500, 0.2607], [0.8988, 0.7500, 0.4725], [0.9194, 0.5245, 0.6429], [0.9194, 0.9755, 0.6429]]}


Record 2
{"formula": "Ac4Te2PbSe", "functional": "PBE", "state": "optimized geometry", "sg": "P2/m", "e_form_raw_ev_per_atom": -1.375, "lattice": [[8.0993, 0.0000, 0.0000], [0.0000, 4.7380, 0.0000], [-2.7660, 0.0000, 7.7496]], "species": ["Ac", "Ac", "Ac", "Ac", "Te", "Te", "Pb", "Se"], "frac_coords": [[0.2402, 0.0000, 0.2343], [0.2484, 0.5000, 0.7612], [0.7516, 0.5000, 0.2388], [0.7598, 0.0000, 0.7657], [0.0000, 0.0000, 0.5000], [0.5000, 0.5000, 0.5000], [0.5000, 0.0000, 0.0000], [0.0000, 0.5000, 0.0000]]}


Record 3
{"formula": "BaTl12Pd6", "functional": "PBE", "state": "optimized geometry", "sg": "R-3m", "ef_ev_per_atom": -0.138, "lattice": [[6.5265, 3.7681, 3.3005], [-6.5265, 3.7681, 3.3005], [0.0000, -7.5361, 3.3005]], "species": ["Ba", "Tl", "Tl", "Tl", "Tl", "Tl", "Tl", "Tl", "Tl", "Tl", "Tl", "Tl", "Tl", "Pd", "Pd", "Pd", "Pd", "Pd", "Pd"], "frac_coords": [[0.0000, 0.0000, 0.0000], [0.1191, 0.5000, 0.8809], [0.1191, 0.8809, 0.5000], [0.1628, 0.4205, 0.4205], [0.4205, 0.1628, 0.4205], [0.4205, 0.4205, 0.1628], [0.5000, 0.1191, 0.8809], [0.5000, 0.8809, 0.1191], [0.5795, 0.5795, 0.8372], [0.5795, 0.8372, 0.5795], [0.8372, 0.5795, 0.5795], [0.8809, 0.1191, 0.5000], [0.8809, 0.5000, 0.1191], [0.2694, 0.2694, 0.7046], [0.2694, 0.7046, 0.2694], [0.2954, 0.7306, 0.7306], [0.7046, 0.2694, 0.2694], [0.7306, 0.2954, 0.7306], [0.7306, 0.7306, 0.2954]]}


Record 4
{"formula": "La2NdGd", "functional": "PBE", "state": "optimized geometry", "sg": "Fm-3m", "ef_ev_per_atom": 0.103, "de_polymorph_ev_per_atom": 0.092, "lattice": [[0.0000, 4.1535, 4.1535], [4.1535, 0.0000, 4.1535], [4.1535, 4.1535, 0.0000]], "species": ["La", "La", "Nd", "Gd"], "frac_coords": [[0.2500, 0.2500, 0.2500], [0.7500, 0.7500, 0.7500], [0.0000, 0.0000, 0.0000], [0.5000, 0.5000, 0.5000]]}


Record 5
{"formula": "CaTl2Hg4", "functional": "PBE", "state": "optimized geometry", "sg": "C2/m", "ef_ev_per_atom": -0.130, "de_polymorph_ev_per_atom": 0.000, "lattice": [[4.4832, -2.5840, 0.0000], [4.4832, 2.5840, 0.0000], [-0.0656, 0.0000, 9.3647]], "species": ["Ca", "Tl", "Tl", "Hg", "Hg", "Hg", "Hg"], "frac_coords": [[0.0000, 0.0000, 0.0000], [0.3333, 0.3333, 0.4536], [0.6667, 0.6667, 0.5464], [0.3324, 0.3324, 0.7943], [0.3342, 0.3342, 0.1329], [0.6658, 0.6658, 0.8671], [0.6676, 0.6676, 0.2057]]}


Record 6
{"formula": "TaOs2Pt", "functional": "PBE", "state": "optimized geometry", "sg": "P2/m", "ef_ev_per_atom": -0.193, "de_polymorph_ev_per_atom": 0.169, "lattice": [[4.7749, 0.0000, 0.0000], [0.0000, 2.8290, 0.0000], [-1.5918, 0.0000, 4.5544]], "species": ["Ta", "Os", "Os", "Pt"], "frac_coords": [[0.0000, 0.0000, 0.0000], [0.5000, 0.0000, 0.5000], [0.5000, 0.5000, 0.0000], [0.0000, 0.5000, 0.5000]]}